Ba2NaLiS | PBE | optimized geometry

The magnetic moment is 0.85 μB per cell. The volume comes out at 196 Å³/cell. The density of states at the Fermi level comes out at 4.3 states/eV/f.u. As for the total DFT energy (no corrections): -2.956 eV/atom. As for the uncorrected formation energy: -0.71 eV/atom.

The structure belongs to space group P4/mmm (No. 123); the cell edges are 6.379, 6.379 and 4.810 Å and the angles 90.00°, 90.00° and 90.00°. The asymmetric unit holds Ba at (0.000, 0.500, 0.000), Na at (0.000, 0.000, 0.500), Li at (0.500, 0.500, 0.500) and S at (0.500, 0.500, 0.000).


Ba2NaLiSb | PBE | optimized geometry

The magnetic moment is 0.00 μB per cell. The volume comes out at 247 Å³/cell. The density of states at the Fermi level comes out at 3.1 states/eV/f.u. As for the total DFT energy (no corrections): -2.618 eV/atom. As for the uncorrected formation energy: -0.38 eV/atom.

The structure belongs to space group P4/mmm (No. 123); the cell edges are 6.834, 6.834 and 5.286 Å and the angles 90.00°, 90.00° and 90.00°. The asymmetric unit holds Ba at (0.000, 0.500, 0.000), Na at (0.000, 0.000, 0.500), Li at (0.500, 0.500, 0.500) and Sb at (0.500, 0.500, 0.000).


Ba2NaLiSe | PBE | optimized geometry

The magnetic moment is 0.81 μB per cell. The volume comes out at 213 Å³/cell. The density of states at the Fermi level comes out at 4.5 states/eV/f.u. As for the total DFT energy (no corrections): -2.799 eV/atom. As for the uncorrected formation energy: -0.69 eV/atom.

The structure belongs to space group P4/mmm (No. 123); the cell edges are 6.550, 6.550 and 4.957 Å and the angles 90.00°, 90.00° and 90.00°. The asymmetric unit holds Ba at (0.000, 0.500, 0.000), Na at (0.000, 0.000, 0.500), Li at (0.500, 0.500, 0.500) and Se at (0.500, 0.500, 0.000).


BaNaLi2Sn | PBE | optimized geometry

The magnetic moment is 0.34 μB per cell. The volume comes out at 165 Å³/cell. The density of states at the Fermi level comes out at 2.5 states/eV/f.u. As for the total DFT energy (no corrections): -2.355 eV/atom. The calculation puts the formation energy at -141 meV per atom.

The structure belongs to space group P4/mmm (No. 123); the cell edges are 5.348, 5.348 and 5.773 Å and the angles 90.00°, 90.00° and 90.00°. The asymmetric unit holds Ba at (0.000, 0.000, 0.000), Na at (0.500, 0.500, 0.000), Li at (0.000, 0.500, 0.500) and Sn at (0.500, 0.500, 0.500).


BaNa2LiSn | PBE | optimized geometry

The magnetic moment is 0.64 μB per cell. The volume comes out at 160 Å³/cell. The density of states at the Fermi level comes out at 2.6 states/eV/f.u. As for the total DFT energy (no corrections): -2.252 eV/atom. The calculation puts the formation energy at -156 meV per atom.

The structure belongs to space group P4/mmm (No. 123); the cell edges are 5.484, 5.484 and 5.316 Å and the angles 90.00°, 90.00° and 90.00°. The asymmetric unit holds Ba at (0.000, 0.000, 0.000), Na at (0.000, 0.500, 0.500), Li at (0.500, 0.500, 0.500) and Sn at (0.500, 0.500, 0.000).


BaNaLiSn2 | PBE | optimized geometry

The magnetic moment is 0.00 μB per cell. The volume comes out at 148 Å³/cell. The density of states at the Fermi level comes out at 2.2 states/eV/f.u. As for the total DFT energy (no corrections): -2.922 eV/atom. The calculation puts the formation energy at -290 meV per atom.

The structure belongs to space group P4/mmm (No. 123); the cell edges are 5.267, 5.267 and 5.319 Å and the angles 90.00°, 90.00° and 90.00°. The asymmetric unit holds Ba at (0.000, 0.000, 0.000), Na at (0.500, 0.500, 0.000), Li at (0.500, 0.500, 0.500) and Sn at (0.000, 0.500, 0.500).